PBE-GGA Cr2FeSb, relaxed; space group = I-42d; crystal system = tetragonal; E_tot = -7.333 eV/atom
1.0
-3.4214 3.4214 2.6414
3.4214 -3.4214 2.6414
3.4214 3.4214 -2.6414
Cr Fe Sb
4 2 2
direct
0.0702 0.6250 0.9452
0.3750 0.3202 0.4452
0.6798 0.1250 0.0548
0.8750 0.9298 0.5548
0.0000 0.0000 0.0000
0.7500 0.2500 0.5000
0.2500 0.7500 0.5000
0.5000 0.5000 0.0000